Material: LaSc3Cu
Method: DFT, GGA-PBE
State: optimized geometry

Values from the calculation:
The electronic total energy is -4.444 eV per atom. The calculation puts the polymorph energy (0 for the lowest one) at 106.11 kJ/mol of atoms. The space group is Pm-3m.

abc: 5.1546 5.1546 5.1546
angles: 90.00 90.00 90.00
Element x y z (fractional)
Sc (0.0000, 0.0000, 0.5000)
Sc (0.5000, 0.0000, 0.0000)
Sc (0.0000, 0.5000, 0.0000)
Cu (0.5000, 0.5000, 0.5000)
La (0.0000, 0.0000, 0.0000)